CsSmCrF6: optimized geometry, PBE+U.

Lattice parameters (Å, degrees): 8.4538 7.7688 8.1907 118.31 121.07 90.00
Site moments in Bohr magnetons follow the coordinates.
Positions (direct):
F  0.5399  0.2899  0.0797  0.00
F  0.8152  0.1028  0.2693  0.01
F  0.5460  0.8972  0.7307  0.01
Sm  0.0000  0.0000  0.5000  0.01
Sm  0.5000  0.0000  0.5000  0.01
Cr  0.5000  0.0000  0.0000  3.82
Cs  0.8063  0.5563  0.6126  0.00
F  0.4540  0.6664  0.2693  0.01
F  0.4601  0.7101  0.9203  0.00
F  0.1848  0.3336  0.7307  0.01
Cr  0.5000  0.5000  0.0000  3.82
F  0.8152  0.6664  0.2693  0.01
Cs  0.1937  0.4437  0.3874  0.00
F  0.4540  0.1028  0.2693  0.01
F  0.8243  0.0743  0.6486  0.00
F  0.1757  0.9257  0.3514  0.00
F  0.1848  0.8972  0.7307  0.01
F  0.5460  0.3336  0.7307  0.01

Computed properties:
Space-group type ... No. 74
E ... -5.973 eV per atom
DOS(E_F) ... 0.00 states/eV per cell